No. 1
SrY2MnPt, optimized geometry, DFT PBE; symmetry = P4/mmm, No. 123; crystal system = tetragonal; E_tot = -5.78 eV/atom; magnetization = 0.01 μB per cell
1.0
5.504 0.000 0.000
0.000 5.504 0.000
0.000 0.000 4.773
Sr Y Mn Pt
1 2 1 1
Direct
0.000 0.000 0.000
0.000 0.500 0.500
0.500 0.000 0.500
0.500 0.500 0.000
0.500 0.500 0.500



No. 2
TaMn3Pt4, optimized geometry, DFT PBE; symmetry = Pmma, No. 51; crystal system = orthorhombic; E_tot = -8.39 eV/atom; magnetization = 23.22 μB per cell
1.0
9.119 0.000 0.000
0.000 5.627 0.000
0.000 0.000 4.773
Ta Mn Pt
2 6 8
Direct
0.000 0.000 0.000
0.500 0.000 0.000
0.000 0.500 0.000
0.250 0.000 0.378
0.250 0.500 0.370
0.500 0.500 0.000
0.750 0.000 0.622
0.750 0.500 0.630
0.000 0.252 0.500
0.000 0.748 0.500
0.250 0.253 0.869
0.250 0.747 0.869
0.500 0.252 0.500
0.500 0.748 0.500
0.750 0.253 0.131
0.750 0.747 0.131



No. 3
TaMnPt14, optimized geometry, DFT PBE; symmetry = P4/mmm, No. 123; crystal system = tetragonal; E_tot = -6.90 eV/atom; magnetization = 4.27 μB per cell
1.0
5.635 0.000 0.000
0.000 5.635 0.000
0.000 0.000 7.868
Ta Mn Pt
1 1 14
Direct
0.000 0.000 0.000
0.500 0.500 0.000
0.000 0.000 0.500
0.000 0.500 0.000
0.000 0.500 0.500
0.250 0.250 0.243
0.250 0.250 0.757
0.250 0.750 0.243
0.250 0.750 0.757
0.500 0.000 0.000
0.500 0.000 0.500
0.500 0.500 0.500
0.750 0.250 0.243
0.750 0.250 0.757
0.750 0.750 0.243
0.750 0.750 0.757